*P*
First-principles (GGA-PBE) data for Sr2AsH after structural relaxation, as listed in the Alexandria database.

```
data_Sr2AsH
_chemical_formula_sum 'Sr6 As3 H3'
_symmetry_space_group_name_H-M 'R -3 m'
_symmetry_Int_Tables_number 166
_symmetry_space_group_name_Hall '-R 3 2"'
_cell_length_a 4.4910
_cell_length_b 4.4910
_cell_length_c 19.0679
_cell_angle_alpha 90.00
_cell_angle_beta 90.00
_cell_angle_gamma 120.00
loop_
_atom_site_label
_atom_site_fract_x
_atom_site_fract_y
_atom_site_fract_z
Sr1 0.0000 0.0000 0.2505
As1 0.0000 0.0000 0.5000
H1 0.0000 0.0000 0.0000
```

***

*Q*
First-principles (GGA-PBE) data for Sr2AsH after structural relaxation, as listed in the Alexandria database.

```
data_Sr2AsH
_chemical_formula_sum 'Sr8 As4 H4'
_symmetry_space_group_name_H-M 'F m -3 m'
_symmetry_Int_Tables_number 225
_symmetry_space_group_name_Hall '-F 4 2 3'
_cell_length_a 7.3589
_cell_length_b 7.3589
_cell_length_c 7.3589
_cell_angle_alpha 90.00
_cell_angle_beta 90.00
_cell_angle_gamma 90.00
loop_
_atom_site_label
_atom_site_fract_x
_atom_site_fract_y
_atom_site_fract_z
Sr1 0.2500 0.2500 0.2500
As1 0.0000 0.0000 0.0000
H1 0.0000 0.0000 0.5000
```

***

Which is most stable, and by how much? *P*, by 36 meV per atom.

***

*P*
First-principles (GGA-PBE) data for Sr2AsH after structural relaxation, as listed in the Alexandria database.

```
data_Sr2AsH
_chemical_formula_sum 'Sr8 As4 H4'
_symmetry_space_group_name_H-M 'I -4 2 d'
_symmetry_Int_Tables_number 122
_symmetry_space_group_name_Hall 'I -4 2bw'
_cell_length_a 6.0457
_cell_length_b 6.0457
_cell_length_c 14.0793
_cell_angle_alpha 90.00
_cell_angle_beta 90.00
_cell_angle_gamma 90.00
loop_
_atom_site_label
_atom_site_fract_x
_atom_site_fract_y
_atom_site_fract_z
Sr1 0.2040 0.2500 0.1250
As1 0.0000 0.0000 0.5000
H1 0.0000 0.0000 0.0000
```

***

*Q*
First-principles (GGA-PBE) data for Sr2AsH after structural relaxation, as listed in the Alexandria database.

```
data_Sr2AsH
_chemical_formula_sum 'Sr8 As4 H4'
_symmetry_space_group_name_H-M 'P 1 2/c 1'
_symmetry_Int_Tables_number 13
_cell_length_a 6.1343
_cell_length_b 6.1155
_cell_length_c 13.6927
_cell_angle_alpha 90.00
_cell_angle_beta 116.50
_cell_angle_gamma 90.00
loop_
_symmetry_equiv_pos_as_xyz
'x,y,z'
'-x,-y,-z'
'-x,y,-z+1/2'
'x,-y,z+1/2'
loop_
_atom_site_label
_atom_site_fract_x
_atom_site_fract_y
_atom_site_fract_z
Sr1 0.1258 0.2351 0.1265
Sr2 0.3568 0.2497 0.8773
As1 0.3761 0.2512 0.3747
H1 0.0936 0.2259 0.6236
```

***

*R*
First-principles (GGA-PBE) data for Sr2AsH after structural relaxation, as listed in the Alexandria database.

```
data_Sr2AsH
_chemical_formula_sum 'Sr8 As4 H4'
_symmetry_space_group_name_H-M 'P 1 21/c 1'
_symmetry_Int_Tables_number 14
_cell_length_a 7.3801
_cell_length_b 8.0672
_cell_length_c 7.2425
_cell_angle_alpha 90.00
_cell_angle_beta 102.80
_cell_angle_gamma 90.00
loop_
_symmetry_equiv_pos_as_xyz
'x,y,z'
'-x,-y,-z'
'-x,y+1/2,-z+1/2'
'x,-y+1/2,z+1/2'
loop_
_atom_site_label
_atom_site_fract_x
_atom_site_fract_y
_atom_site_fract_z
Sr1 0.0728 0.1213 0.2658
Sr2 0.4139 0.7394 0.4857
As1 0.2992 0.0614 0.6905
H1 0.1395 0.6553 0.6353
```

***

Which is most stable, and by how much? *R*, by 103 meV per atom.

***

*P*
First-principles (GGA-PBE) data for SrAsH2 after structural relaxation, as listed in the Alexandria database.

```
data_SrAsH2
_chemical_formula_sum 'Sr4 As4 H8'
_symmetry_space_group_name_H-M 'F m -3 m'
_symmetry_Int_Tables_number 225
_symmetry_space_group_name_Hall '-F 4 2 3'
_cell_length_a 6.1633
_cell_length_b 6.1633
_cell_length_c 6.1633
_cell_angle_alpha 90.00
_cell_angle_beta 90.00
_cell_angle_gamma 90.00
loop_
_atom_site_label
_atom_site_fract_x
_atom_site_fract_y
_atom_site_fract_z
Sr1 0.0000 0.0000 0.0000
As1 0.0000 0.0000 0.5000
H1 0.2500 0.2500 0.2500
```

***

*Q*
First-principles (GGA-PBE) data for SrAsH2 after structural relaxation, as listed in the Alexandria database.

```
data_SrAsH2
_chemical_formula_sum 'Sr2 As2 H4'
_symmetry_space_group_name_H-M 'P m m n'
_symmetry_Int_Tables_number 59
_cell_length_a 4.9034
_cell_length_b 6.4732
_cell_length_c 4.0921
_cell_angle_alpha 90.00
_cell_angle_beta 90.00
_cell_angle_gamma 90.00
loop_
_symmetry_equiv_pos_as_xyz
'x,y,z'
'-x,-y,-z'
'-x+1/2,-y+1/2,z'
'x+1/2,y+1/2,-z'
'x+1/2,-y,-z'
'-x+1/2,y,z'
'-x,y+1/2,-z'
'x,-y+1/2,z'
loop_
_atom_site_label
_atom_site_fract_x
_atom_site_fract_y
_atom_site_fract_z
Sr1 0.2500 0.2500 0.2320
As1 0.2500 0.7500 0.2487
H1 0.2500 0.5891 0.5753
```

***

Which is most stable, and by how much? *Q*, by 270 meV per atom.